[1]
# Ce2Pm7Dy2 PBE-GGA relaxed
data_Ce2Pm7Dy2
_symmetry_space_group_name_H-M 'C 1 2/m 1'
_symmetry_Int_Tables_number 12
_symmetry_space_group_name_Hall '-C 2y'
_cell_length_a 11.197
_cell_length_b 11.731
_cell_length_c 6.077
_cell_angle_alpha 90.00
_cell_angle_beta 111.91
_cell_angle_gamma 90.00
loop_
_atom_site_label
_atom_site_type_symbol
_atom_site_fract_x
_atom_site_fract_y
_atom_site_fract_z
Ce1 Ce 0.000 0.217 0.000
Pm1 Pm 0.000 0.000 0.500
Pm2 Pm 0.089 0.500 0.304
Pm3 Pm 0.173 0.242 0.680
Dy1 Dy 0.225 0.000 0.081
# Energy relative to the elements, eV/f.u.: 2.14
# D(E_F), states/eV per cell: 48.65


[2]
# NaPuF3 PBE-GGA relaxed
data_NaPuF3
_symmetry_space_group_name_H-M 'P 1 21/m 1'
_symmetry_Int_Tables_number 11
_symmetry_space_group_name_Hall '-P 2yb'
_cell_length_a 3.186
_cell_length_b 7.877
_cell_length_c 6.170
_cell_angle_alpha 90.00
_cell_angle_beta 104.89
_cell_angle_gamma 90.00
loop_
_atom_site_label
_atom_site_type_symbol
_atom_site_fract_x
_atom_site_fract_y
_atom_site_fract_z
Na1 Na 0.000 0.000 0.000
Pu1 Pu 0.260 0.250 0.520
F1 F 0.081 0.750 0.158
F2 F 0.353 0.553 0.706
# ΔE_f (raw), kJ/mol of atoms: -281
# D(E_F), states/eV per cell: 21.91


[3]
# Zn2CrIr PBE-GGA relaxed
data_Zn2CrIr
_symmetry_space_group_name_H-M 'R -3 m'
_symmetry_Int_Tables_number 166
_symmetry_space_group_name_Hall '-R 3 2"'
_cell_length_a 2.7247
_cell_length_b 2.7247
_cell_length_c 25.7783
_cell_angle_alpha 90.00
_cell_angle_beta 90.00
_cell_angle_gamma 120.00
loop_
_atom_site_label
_atom_site_type_symbol
_atom_site_fract_x
_atom_site_fract_y
_atom_site_fract_z
Zn1 Zn 0.0000 0.0000 0.2490
Cr1 Cr 0.0000 0.0000 0.5000
Ir1 Ir 0.0000 0.0000 0.0000
# Energy relative to the lowest polymorph listed for this composition, eV/f.u.: 0.97
# Energy relative to the elements, eV/f.u.: 0.59
# D(E_F), states/eV per cell: 13.42


Which formula does entry 2 have?
NaPuF3


Which value of D(E_F) does entry 3 give?
13.42 states/eV per cell


The lowest D(E_F) belongs to which entry?
Zn2CrIr